Density functional theory data (GGA+U) for Ba3MnO4 after structural relaxation.

Lattice parameters (Å, degrees): 7.8436 8.2997 9.5527 90.00 90.00 90.00
Each line ends with the local moment (μB).
Fractional positions:
1 Mn 0.2742 0.9908 0.7500  4.51
2 Mn 0.7742 0.5092 0.7500  4.51
3 Mn 0.7258 0.0092 0.2500  4.51
4 Mn 0.2258 0.4908 0.2500  4.51
5 Ba 0.2776 0.5577 0.7500  0.02
6 Ba 0.7776 0.9423 0.7500  0.02
7 Ba 0.7224 0.4423 0.2500  0.02
8 Ba 0.2224 0.0577 0.2500  0.02
9 Ba 0.4794 0.7529 0.0371  0.01
10 Ba 0.9794 0.7471 0.4629  0.01
11 Ba 0.5206 0.2471 0.5371  0.01
12 Ba 0.0206 0.2529 0.9629  0.01
13 Ba 0.5206 0.2471 0.9629  0.01
14 Ba 0.0206 0.2529 0.5371  0.01
15 Ba 0.4794 0.7529 0.4629  0.01
16 Ba 0.9794 0.7471 0.0371  0.01
17 O 0.2135 0.9818 0.5338  0.02
18 O 0.7135 0.5182 0.9662  0.02
19 O 0.7865 0.0182 0.0338  0.02
20 O 0.2865 0.4818 0.4662  0.02
21 O 0.7865 0.0182 0.4662  0.02
22 O 0.2865 0.4818 0.0338  0.02
23 O 0.2135 0.9818 0.9662  0.02
24 O 0.7135 0.5182 0.5338  0.02
25 O 0.2973 0.2448 0.7500  0.04
26 O 0.7973 0.2552 0.7500  0.04
27 O 0.7027 0.7552 0.2500  0.04
28 O 0.2027 0.7448 0.2500  0.04
29 O 0.4796 0.8290 0.7500  0.04
30 O 0.9796 0.6710 0.7500  0.04
31 O 0.5204 0.1710 0.2500  0.04
32 O 0.0204 0.3290 0.2500  0.04

Output
* symmetry: No. 62
* total DFT energy (no corrections): -6.340 eV/atom